(1)
First-principles (GGA-PBE) data for a relaxed ScCdHgAu crystal, as listed in the Open Quantum Materials Database.

## Properties
The formation energy comes out at -1.36 eV per formula unit. As for the crystal system: cubic. The total magnetization is 0.0 μB/cell. For the energy relative to the lowest polymorph listed for this composition, the calculation gives 0.099 eV per atom.

a = 4.8532 Å, b = 4.8532 Å, c = 4.8532 Å
α = 60.00°, β = 60.00°, γ = 60.00°
Positions (direct):
Au 0.7500 0.7500 0.7500
Cd 0.2500 0.2500 0.2500
Hg 0.5000 0.5000 0.5000
Sc 0.0000 0.0000 0.0000



(2)
First-principles (GGA-PBE) data for a relaxed ScCdHgAu crystal, as listed in the Open Quantum Materials Database.

## Properties
The formation energy comes out at -1.75 eV per formula unit. As for the crystal system: cubic. The total magnetization is 0.0 μB/cell. For the energy relative to the lowest polymorph listed for this composition, the calculation gives 0.000 eV per atom.

a = 4.8593 Å, b = 4.8593 Å, c = 4.8593 Å
α = 60.00°, β = 60.00°, γ = 60.00°
Positions (direct):
Au 0.7500 0.7500 0.7500
Cd 0.5000 0.5000 0.5000
Hg 0.2500 0.2500 0.2500
Sc 0.0000 0.0000 0.0000



(3)
First-principles (GGA-PBE) data for a relaxed ScCdHgAu crystal, as listed in the Open Quantum Materials Database.

## Properties
The formation energy comes out at -1.29 eV per formula unit. As for the crystal system: cubic. The total magnetization is 0.0 μB/cell. For the energy relative to the lowest polymorph listed for this composition, the calculation gives 0.115 eV per atom.

a = 4.8350 Å, b = 4.8350 Å, c = 4.8350 Å
α = 60.00°, β = 60.00°, γ = 60.00°
Positions (direct):
Au 0.7500 0.7500 0.7500
Cd 0.0000 0.0000 0.0000
Hg 0.5000 0.5000 0.5000
Sc 0.2500 0.2500 0.2500



(4)
First-principles (GGA-PBE) data for a relaxed YScCd2Hg2Au2 crystal, as listed in the Open Quantum Materials Database.

## Properties
The formation energy comes out at -3.86 eV per formula unit. As for the crystal system: tetragonal. The total magnetization is 0.0 μB/cell.

a = 4.9380 Å, b = 4.9380 Å, c = 6.9678 Å
α = 90.00°, β = 90.00°, γ = 90.00°
Positions (direct):
Au 0.5000 0.0000 0.2400
Au 0.0000 0.5000 0.7600
Cd 0.5000 0.5000 0.0000
Cd 0.0000 0.0000 0.5000
Hg 0.0000 0.5000 0.2385
Hg 0.5000 0.0000 0.7615
Sc 0.0000 0.0000 0.0000
Y 0.5000 0.5000 0.5000



(5)
First-principles (GGA-PBE) data for a relaxed SmCdHgAu crystal, as listed in the Open Quantum Materials Database.

## Properties
The formation energy comes out at -2.16 eV per formula unit. As for the crystal system: cubic. The total magnetization is 0.0 μB/cell.

a = 5.0629 Å, b = 5.0629 Å, c = 5.0629 Å
α = 60.00°, β = 60.00°, γ = 60.00°
Positions (direct):
Au 0.0000 0.0000 0.0000
Cd 0.7500 0.7500 0.7500
Hg 0.5000 0.5000 0.5000
Sm 0.2500 0.2500 0.2500



(6)
First-principles (GGA-PBE) data for a relaxed TbCdHgAu crystal, as listed in the Open Quantum Materials Database.

## Properties
The formation energy comes out at -2.14 eV per formula unit. As for the crystal system: cubic. The total magnetization is 0.0 μB/cell.

a = 5.0100 Å, b = 5.0100 Å, c = 5.0100 Å
α = 60.00°, β = 60.00°, γ = 60.00°
Positions (direct):
Au 0.0000 0.0000 0.0000
Cd 0.7500 0.7500 0.7500
Hg 0.5000 0.5000 0.5000
Tb 0.2500 0.2500 0.2500



(7)
First-principles (GGA-PBE) data for a relaxed YCdHgAu crystal, as listed in the Open Quantum Materials Database.

## Properties
The formation energy comes out at -1.72 eV per formula unit. As for the crystal system: cubic. The total magnetization is 0.0 μB/cell. For the energy relative to the lowest polymorph listed for this composition, the calculation gives 0.104 eV per atom.

a = 4.9966 Å, b = 4.9966 Å, c = 4.9966 Å
α = 60.00°, β = 60.00°, γ = 60.00°
Positions (direct):
Au 0.7500 0.7500 0.7500
Cd 0.2500 0.2500 0.2500
Hg 0.5000 0.5000 0.5000
Y 0.0000 0.0000 0.0000



(8)
First-principles (GGA-PBE) data for a relaxed YCdHgAu crystal, as listed in the Open Quantum Materials Database.

## Properties
The formation energy comes out at -2.14 eV per formula unit. As for the crystal system: cubic. The total magnetization is 0.0 μB/cell. For the energy relative to the lowest polymorph listed for this composition, the calculation gives 0.000 eV per atom.

a = 5.0065 Å, b = 5.0065 Å, c = 5.0065 Å
α = 60.00°, β = 60.00°, γ = 60.00°
Positions (direct):
Au 0.7500 0.7500 0.7500
Cd 0.5000 0.5000 0.5000
Hg 0.2500 0.2500 0.2500
Y 0.0000 0.0000 0.0000